[1]
# Pr4Ho10Sc PBE-GGA relaxed
data_Pr4Ho10Sc
_chemical_formula_sum 'Pr8 Ho20 Sc2'
_space_group_name_H-M_alt 'I 4/m'
_space_group_IT_number 87
_space_group_name_Hall '-I 4'
_cell_length_a 11.3170
_cell_length_b 11.3170
_cell_length_c 7.7868
_cell_angle_alpha 90.00
_cell_angle_beta 90.00
_cell_angle_gamma 90.00
loop_
_atom_site_label
_atom_site_fract_x
_atom_site_fract_y
_atom_site_fract_z
Pr1 0.2280 0.2286 0.0000
Ho1 0.9999 0.2071 0.2892
Ho2 0.0000 0.5000 0.2500
Sc1 0.0000 0.0000 0.0000
# Raw total energy = -134.6 eV for the cell shown
# Formation enthalpy at 0 K = 0.2617 eV/atom
# DOS at the Fermi energy = 1.532 states/eV/atom

=====

[2]
# Hf2CrW PBE-GGA relaxed
data_Hf2CrW
_chemical_formula_sum 'Hf8 Cr4 W4'
_space_group_name_H-M_alt 'F m -3 m'
_space_group_IT_number 225
_space_group_name_Hall '-F 4 2 3'
_cell_length_a 6.6428
_cell_length_b 6.6428
_cell_length_c 6.6428
_cell_angle_alpha 90.00
_cell_angle_beta 90.00
_cell_angle_gamma 90.00
loop_
_atom_site_label
_atom_site_fract_x
_atom_site_fract_y
_atom_site_fract_z
Hf1 0.2500 0.2500 0.2500
Cr1 0.0000 0.0000 0.0000
W1 0.0000 0.0000 0.5000
# Raw total energy = -167.6 eV for the cell shown
# Formation enthalpy at 0 K = 0.1460 eV/atom
# DOS at the Fermi energy = 1.039 states/eV/atom
# Energy relative to the lowest polymorph listed for this composition = 0.000 eV/atom

=====

[3]
# TaMo2As4 PBE-GGA relaxed
data_TaMo2As4
_chemical_formula_sum 'Ta8 Mo16 As32'
_space_group_name_H-M_alt 'F d d 2'
_space_group_IT_number 43
_space_group_name_Hall 'F 2 -2d'
_cell_length_a 11.7778
_cell_length_b 13.1220
_cell_length_c 6.7625
_cell_angle_alpha 90.00
_cell_angle_beta 90.00
_cell_angle_gamma 90.00
loop_
_atom_site_label
_atom_site_fract_x
_atom_site_fract_y
_atom_site_fract_z
Ta1 0.0000 0.0000 0.0000
Mo1 0.0024 0.2507 0.4933
As1 0.0789 0.3778 0.2300
As2 0.0851 0.3753 0.7559
# Raw total energy = -427.1 eV for the cell shown
# Formation enthalpy at 0 K = -0.1820 eV/atom
# DOS at the Fermi energy = 0.602 states/eV/atom

=====

[4]
# UPaSe PBE-GGA relaxed
data_UPaSe
_chemical_formula_sum 'U2 Pa2 Se2'
_space_group_name_H-M_alt 'I 4 m m'
_space_group_IT_number 107
_space_group_name_Hall 'I 4 -2'
_cell_length_a 3.6348
_cell_length_b 3.6348
_cell_length_c 9.6778
_cell_angle_alpha 90.00
_cell_angle_beta 90.00
_cell_angle_gamma 90.00
loop_
_atom_site_label
_atom_site_fract_x
_atom_site_fract_y
_atom_site_fract_z
U1 0.0000 0.0000 0.0000
Pa1 0.0000 0.0000 0.6089
Se1 0.0000 0.0000 0.3052
# Raw total energy = -50.3 eV for the cell shown
# DOS at the Fermi energy = 1.703 states/eV/atom
# Energy relative to the lowest polymorph listed for this composition = 0.272 eV/atom